(1)
# CdInRh2N PBE-GGA optimized geometry
data_CdInRh2N
_chemical_formula_sum 'Cd1 In1 Rh2 N1'
_cell_length_a 4.165
_cell_length_b 4.165
_cell_length_c 4.580
_cell_angle_alpha 90.00
_cell_angle_beta 90.00
_cell_angle_gamma 90.00
_space_group_name_H-M_alt 'P 4/m m m'
_space_group_IT_number 123
_space_group_name_Hall '-P 4 2'
loop_
_atom_site_label
_atom_site_fract_x
_atom_site_fract_y
_atom_site_fract_z
_atom_site_occupancy
Cd1 0.000 0.000 0.000 1
In1 0.500 0.500 0.000 1
Rh1 0.000 0.500 0.500 1
N1 0.000 0.000 0.500 1
# crystal system: tetragonal
# ΔE_f (raw): 298 meV/atom
# DOS at the Fermi energy: 0.727 states/eV per atom
# total energy: -5.038 eV per atom

---

(2)
# CdInS2N PBE-GGA optimized geometry
data_CdInS2N
_chemical_formula_sum 'Cd1 In1 S2 N1'
_cell_length_a 5.159
_cell_length_b 5.159
_cell_length_c 4.186
_cell_angle_alpha 90.00
_cell_angle_beta 90.00
_cell_angle_gamma 90.00
_space_group_name_H-M_alt 'P 4/m m m'
_space_group_IT_number 123
_space_group_name_Hall '-P 4 2'
loop_
_atom_site_label
_atom_site_fract_x
_atom_site_fract_y
_atom_site_fract_z
_atom_site_occupancy
Cd1 0.000 0.000 0.000 1
In1 0.500 0.500 0.500 1
S1 0.000 0.500 0.500 1
N1 0.500 0.500 0.000 1
# crystal system: tetragonal
# ΔE_f (raw): 731 meV/atom
# DOS at the Fermi energy: 0.326 states/eV per atom
# total energy: -3.316 eV per atom
# relative energy among the computed polymorphs: 0 meV per atom

---

(3)
# CdInS2N PBE-GGA optimized geometry
data_CdInS2N
_chemical_formula_sum 'Cd1 In1 S2 N1'
_cell_length_a 5.163
_cell_length_b 5.163
_cell_length_c 4.201
_cell_angle_alpha 90.00
_cell_angle_beta 90.00
_cell_angle_gamma 90.00
_space_group_name_H-M_alt 'P 4/m m m'
_space_group_IT_number 123
_space_group_name_Hall '-P 4 2'
loop_
_atom_site_label
_atom_site_fract_x
_atom_site_fract_y
_atom_site_fract_z
_atom_site_occupancy
Cd1 0.000 0.000 0.000 1
In1 0.500 0.500 0.500 1
S1 0.000 0.500 0.000 1
N1 0.000 0.000 0.500 1
# crystal system: tetragonal
# ΔE_f (raw): 898 meV/atom
# DOS at the Fermi energy: 0.566 states/eV per atom
# total energy: -3.149 eV per atom
# relative energy among the computed polymorphs: 168 meV per atom

---

(4)
# Sr2CdInN PBE-GGA optimized geometry
data_Sr2CdInN
_chemical_formula_sum 'Sr2 Cd1 In1 N1'
_cell_length_a 5.322
_cell_length_b 5.322
_cell_length_c 4.649
_cell_angle_alpha 90.00
_cell_angle_beta 90.00
_cell_angle_gamma 90.00
_space_group_name_H-M_alt 'P 4/m m m'
_space_group_IT_number 123
_space_group_name_Hall '-P 4 2'
loop_
_atom_site_label
_atom_site_fract_x
_atom_site_fract_y
_atom_site_fract_z
_atom_site_occupancy
Sr1 0.000 0.500 0.000 1
Cd1 0.000 0.000 0.500 1
In1 0.500 0.500 0.500 1
N1 0.500 0.500 0.000 1
# crystal system: tetragonal
# ΔE_f (raw): -288 meV/atom
# DOS at the Fermi energy: 0.640 states/eV per atom
# total energy: -3.357 eV per atom
# relative energy among the computed polymorphs: 0 meV per atom

---

(5)
# Sr2CdInN PBE-GGA optimized geometry
data_Sr2CdInN
_chemical_formula_sum 'Sr2 Cd1 In1 N1'
_cell_length_a 5.370
_cell_length_b 5.370
_cell_length_c 4.547
_cell_angle_alpha 90.00
_cell_angle_beta 90.00
_cell_angle_gamma 90.00
_space_group_name_H-M_alt 'P 4/m m m'
_space_group_IT_number 123
_space_group_name_Hall '-P 4 2'
loop_
_atom_site_label
_atom_site_fract_x
_atom_site_fract_y
_atom_site_fract_z
_atom_site_occupancy
Sr1 0.000 0.500 0.000 1
Cd1 0.000 0.000 0.500 1
In1 0.500 0.500 0.500 1
N1 0.000 0.000 0.000 1
# crystal system: tetragonal
# ΔE_f (raw): -270 meV/atom
# DOS at the Fermi energy: 0.746 states/eV per atom
# total energy: -3.339 eV per atom
# relative energy among the computed polymorphs: 18 meV per atom

---

(6)
# TaCdIn2N4 PBE-GGA optimized geometry
data_TaCdIn2N4
_chemical_formula_sum 'Ta2 Cd2 In4 N8'
_cell_length_a 5.097
_cell_length_b 5.097
_cell_length_c 9.920
_cell_angle_alpha 90.00
_cell_angle_beta 90.00
_cell_angle_gamma 90.00
_space_group_name_H-M_alt 'I -4 2 m'
_space_group_IT_number 121
_space_group_name_Hall 'I -4 2'
loop_
_atom_site_label
_atom_site_fract_x
_atom_site_fract_y
_atom_site_fract_z
_atom_site_occupancy
Ta1 0.000 0.000 0.000 1
Cd1 0.000 0.000 0.500 1
In1 0.000 0.500 0.250 1
N1 0.219 0.219 0.881 1
# crystal system: tetragonal
# ΔE_f (raw): -149 meV/atom
# DOS at the Fermi energy: 0.119 states/eV per atom
# total energy: -6.592 eV per atom

---

(7)
# CdInTeN2 PBE-GGA optimized geometry
data_CdInTeN2
_chemical_formula_sum 'Cd1 In1 Te1 N2'
_cell_length_a 4.416
_cell_length_b 4.416
_cell_length_c 6.302
_cell_angle_alpha 90.00
_cell_angle_beta 90.00
_cell_angle_gamma 90.00
_space_group_name_H-M_alt 'P 4/m m m'
_space_group_IT_number 123
_space_group_name_Hall '-P 4 2'
loop_
_atom_site_label
_atom_site_fract_x
_atom_site_fract_y
_atom_site_fract_z
_atom_site_occupancy
Cd1 0.000 0.000 0.000 1
In1 0.500 0.500 0.500 1
Te1 0.000 0.000 0.500 1
N1 0.000 0.500 0.000 1
# crystal system: tetragonal
# ΔE_f (raw): 1462 meV/atom
# DOS at the Fermi energy: 0.548 states/eV per atom
# total energy: -3.227 eV per atom
# relative energy among the computed polymorphs: 222 meV per atom

---

(8)
# CdInTeN2 PBE-GGA optimized geometry
data_CdInTeN2
_chemical_formula_sum 'Cd1 In1 Te1 N2'
_cell_length_a 4.311
_cell_length_b 4.311
_cell_length_c 6.292
_cell_angle_alpha 90.00
_cell_angle_beta 90.00
_cell_angle_gamma 90.00
_space_group_name_H-M_alt 'P 4/m m m'
_space_group_IT_number 123
_space_group_name_Hall '-P 4 2'
loop_
_atom_site_label
_atom_site_fract_x
_atom_site_fract_y
_atom_site_fract_z
_atom_site_occupancy
Cd1 0.000 0.000 0.000 1
In1 0.500 0.500 0.500 1
Te1 0.500 0.500 0.000 1
N1 0.000 0.500 0.500 1
# crystal system: tetragonal
# ΔE_f (raw): 1240 meV/atom
# DOS at the Fermi energy: 0.428 states/eV per atom
# total energy: -3.449 eV per atom
# relative energy among the computed polymorphs: 0 meV per atom

---

(9)
# Ti2CdInN PBE-GGA optimized geometry
data_Ti2CdInN
_chemical_formula_sum 'Ti2 Cd1 In1 N1'
_cell_length_a 4.134
_cell_length_b 4.134
_cell_length_c 4.903
_cell_angle_alpha 90.00
_cell_angle_beta 90.00
_cell_angle_gamma 90.00
_space_group_name_H-M_alt 'P 4/m m m'
_space_group_IT_number 123
_space_group_name_Hall '-P 4 2'
loop_
_atom_site_label
_atom_site_fract_x
_atom_site_fract_y
_atom_site_fract_z
_atom_site_occupancy
Ti1 0.000 0.500 0.000 1
Cd1 0.000 0.000 0.500 1
In1 0.500 0.500 0.500 1
N1 0.500 0.500 0.000 1
# crystal system: tetragonal
# ΔE_f (raw): -344 meV/atom
# DOS at the Fermi energy: 0.859 states/eV per atom
# total energy: -5.898 eV per atom

---

(10)
# VCdIn2N PBE-GGA optimized geometry
data_VCdIn2N
_chemical_formula_sum 'V1 Cd1 In2 N1'
_cell_length_a 5.500
_cell_length_b 5.500
_cell_length_c 3.695
_cell_angle_alpha 90.00
_cell_angle_beta 90.00
_cell_angle_gamma 90.00
_space_group_name_H-M_alt 'P 4/m m m'
_space_group_IT_number 123
_space_group_name_Hall '-P 4 2'
loop_
_atom_site_label
_atom_site_fract_x
_atom_site_fract_y
_atom_site_fract_z
_atom_site_occupancy
V1 0.000 0.000 0.000 1
Cd1 0.500 0.500 0.500 1
In1 0.000 0.500 0.000 1
N1 0.000 0.000 0.500 1
# crystal system: tetragonal
# ΔE_f (raw): 299 meV/atom
# DOS at the Fermi energy: 0.616 states/eV per atom
# total energy: -4.468 eV per atom

---

(11)
# CdIn2WN4 PBE-GGA optimized geometry
data_CdIn2WN4
_chemical_formula_sum 'Cd2 In4 W2 N8'
_cell_length_a 5.120
_cell_length_b 5.120
_cell_length_c 9.993
_cell_angle_alpha 90.00
_cell_angle_beta 90.00
_cell_angle_gamma 90.00
_space_group_name_H-M_alt 'I -4 2 m'
_space_group_IT_number 121
_space_group_name_Hall 'I -4 2'
loop_
_atom_site_label
_atom_site_fract_x
_atom_site_fract_y
_atom_site_fract_z
_atom_site_occupancy
Cd1 0.000 0.000 0.000 1
In1 0.000 0.500 0.250 1
W1 0.000 0.000 0.500 1
N1 0.212 0.212 0.386 1
# crystal system: tetragonal
# ΔE_f (raw): 99 meV/atom
# DOS at the Fermi energy: 0.361 states/eV per atom
# total energy: -6.482 eV per atom

---

(12)
# Y2CdInN PBE-GGA optimized geometry
data_Y2CdInN
_chemical_formula_sum 'Y2 Cd1 In1 N1'
_cell_length_a 5.684
_cell_length_b 5.684
_cell_length_c 5.030
_cell_angle_alpha 90.00
_cell_angle_beta 90.00
_cell_angle_gamma 90.00
_space_group_name_H-M_alt 'P 4/m m m'
_space_group_IT_number 123
_space_group_name_Hall '-P 4 2'
loop_
_atom_site_label
_atom_site_fract_x
_atom_site_fract_y
_atom_site_fract_z
_atom_site_occupancy
Y1 0.000 0.500 0.000 1
Cd1 0.000 0.000 0.500 1
In1 0.000 0.000 0.000 1
N1 0.500 0.500 0.500 1
# crystal system: tetragonal
# ΔE_f (raw): 1244 meV/atom
# DOS at the Fermi energy: 0.277 states/eV per atom
# total energy: -3.737 eV per atom

---

(13)
# ZrCd2InN PBE-GGA optimized geometry
data_ZrCd2InN
_chemical_formula_sum 'Zr1 Cd2 In1 N1'
_cell_length_a 5.597
_cell_length_b 5.597
_cell_length_c 5.693
_cell_angle_alpha 90.00
_cell_angle_beta 90.00
_cell_angle_gamma 90.00
_space_group_name_H-M_alt 'P 4/m m m'
_space_group_IT_number 123
_space_group_name_Hall '-P 4 2'
loop_
_atom_site_label
_atom_site_fract_x
_atom_site_fract_y
_atom_site_fract_z
_atom_site_occupancy
Zr1 0.000 0.000 0.000 1
Cd1 0.000 0.500 0.000 1
In1 0.000 0.000 0.500 1
N1 0.500 0.500 0.500 1
# crystal system: tetragonal
# ΔE_f (raw): 1956 meV/atom
# DOS at the Fermi energy: 1.359 states/eV per atom
# total energy: -2.333 eV per atom

---

(14)
# NaCdIn11 PBE-GGA optimized geometry
data_NaCdIn11
_chemical_formula_sum 'Na2 Cd2 In22'
_cell_length_a 6.047
_cell_length_b 15.588
_cell_length_c 8.232
_cell_angle_alpha 90.00
_cell_angle_beta 108.47
_cell_angle_gamma 90.00
_space_group_name_H-M_alt 'C 1 2/m 1'
_space_group_IT_number 12
_space_group_name_Hall '-C 2y'
loop_
_atom_site_label
_atom_site_fract_x
_atom_site_fract_y
_atom_site_fract_z
_atom_site_occupancy
Na1 0.000 0.000 0.000 1
Cd1 0.000 0.500 0.500 1
In1 0.000 0.000 0.500 1
In2 0.106 0.397 0.209 1
In3 0.181 0.177 0.360 1
In4 0.250 0.250 0.000 1
# crystal system: monoclinic
# DOS at the Fermi energy: 0.417 states/eV per atom
# energy of formation from the pure elements: 0.022 eV per atom
# total energy: -2.467 eV per atom

---

(15)
# Na2CdIn4 PBE-GGA optimized geometry
data_Na2CdIn4
_chemical_formula_sum 'Na4 Cd2 In8'
_cell_length_a 6.034
_cell_length_b 14.789
_cell_length_c 5.180
_cell_angle_alpha 90.00
_cell_angle_beta 90.00
_cell_angle_gamma 90.00
_space_group_name_H-M_alt 'C m m m'
_space_group_IT_number 65
_space_group_name_Hall '-C 2 2'
loop_
_atom_site_label
_atom_site_fract_x
_atom_site_fract_y
_atom_site_fract_z
_atom_site_occupancy
Na1 0.000 0.150 0.000 1
Cd1 0.000 0.500 0.500 1
In1 0.000 0.290 0.500 1
In2 0.000 0.399 0.000 1
# crystal system: orthorhombic
# DOS at the Fermi energy: 0.419 states/eV per atom
# energy of formation from the pure elements: 0.050 eV per atom
# total energy: -2.022 eV per atom
# relative energy among the computed polymorphs: 55 meV per atom

---

(16)
# NaCd2In PBE-GGA optimized geometry
data_NaCd2In
_chemical_formula_sum 'Na4 Cd8 In4'
_cell_length_a 4.468
_cell_length_b 4.468
_cell_length_c 21.709
_cell_angle_alpha 90.00
_cell_angle_beta 90.00
_cell_angle_gamma 90.00
_space_group_name_H-M_alt 'I -4 2 d'
_space_group_IT_number 122
_space_group_name_Hall 'I -4 2bw'
loop_
_atom_site_label
_atom_site_fract_x
_atom_site_fract_y
_atom_site_fract_z
_atom_site_occupancy
Na1 0.000 0.000 0.000 1
Cd1 0.245 0.250 0.625 1
In1 0.000 0.000 0.500 1
# crystal system: tetragonal
# DOS at the Fermi energy: 0.441 states/eV per atom
# energy of formation from the pure elements: 0.057 eV per atom
# total energy: -1.415 eV per atom

---

(17)
# Na5Cd4In4 PBE-GGA optimized geometry
data_Na5Cd4In4
_chemical_formula_sum 'Na10 Cd8 In8'
_cell_length_a 12.328
_cell_length_b 12.328
_cell_length_c 4.872
_cell_angle_alpha 90.00
_cell_angle_beta 90.00
_cell_angle_gamma 90.00
_space_group_name_H-M_alt 'I 4/m'
_space_group_IT_number 87
_space_group_name_Hall '-I 4'
loop_
_atom_site_label
_atom_site_fract_x
_atom_site_fract_y
_atom_site_fract_z
_atom_site_occupancy
Na1 0.000 0.000 0.000 1
Na2 0.137 0.797 0.500 1
Cd1 0.054 0.244 0.000 1
In1 0.069 0.387 0.500 1
# crystal system: tetragonal
# DOS at the Fermi energy: 0.340 states/eV per atom
# energy of formation from the pure elements: -0.068 eV per atom
# total energy: -1.699 eV per atom

---

(18)
# Na3Cd6In5 PBE-GGA optimized geometry
data_Na3Cd6In5
_chemical_formula_sum 'Na6 Cd12 In10'
_cell_length_a 5.034
_cell_length_b 13.227
_cell_length_c 10.959
_cell_angle_alpha 90.00
_cell_angle_beta 90.00
_cell_angle_gamma 90.00
_space_group_name_H-M_alt 'P m m n'
_space_group_IT_number 59
loop_
_space_group_symop_operation_xyz
'x,y,z'
'-x,-y,-z'
'-x+1/2,-y+1/2,z'
'x+1/2,y+1/2,-z'
'x+1/2,-y,-z'
'-x+1/2,y,z'
'-x,y+1/2,-z'
'x,-y+1/2,z'
loop_
_atom_site_label
_atom_site_fract_x
_atom_site_fract_y
_atom_site_fract_z
_atom_site_occupancy
Na1 0.250 0.029 0.241 1
Na2 0.250 0.750 0.237 1
Cd1 0.250 0.123 0.639 1
Cd2 0.250 0.250 0.116 1
Cd3 0.250 0.250 0.419 1
Cd4 0.250 0.620 0.957 1
In1 0.250 0.106 0.903 1
In2 0.250 0.589 0.515 1
In3 0.250 0.750 0.722 1
# crystal system: orthorhombic
# DOS at the Fermi energy: 0.243 states/eV per atom
# energy of formation from the pure elements: -0.072 eV per atom
# total energy: -1.725 eV per atom

---

(19)
# Na3Cd8In PBE-GGA optimized geometry
data_Na3Cd8In
_chemical_formula_sum 'Na9 Cd24 In3'
_cell_length_a 5.9937
_cell_length_b 5.9937
_cell_length_c 29.1190
_cell_angle_alpha 90.00
_cell_angle_beta 90.00
_cell_angle_gamma 120.00
_space_group_name_H-M_alt 'R 3 m'
_space_group_IT_number 160
_space_group_name_Hall 'R 3 -2"'
loop_
_atom_site_label
_atom_site_fract_x
_atom_site_fract_y
_atom_site_fract_z
_atom_site_occupancy
Na1 0.0000 0.0000 0.0000 1
Na2 0.0000 0.0000 0.1265 1
Na3 0.0000 0.0000 0.6239 1
Cd1 0.0000 0.0000 0.3127 1
Cd2 0.0000 0.0000 0.8122 1
Cd3 0.0000 0.5000 0.5627 1
Cd4 0.1672 0.3343 0.3957 1
In1 0.0000 0.0000 0.5008 1
# crystal system: trigonal
# DOS at the Fermi energy: 0.481 states/eV per atom
# energy of formation from the pure elements: -0.075 eV per atom
# total energy: -1.243 eV per atom

---

(20)
# NaCdIn PBE-GGA optimized geometry
data_NaCdIn
_chemical_formula_sum 'Na4 Cd4 In4'
_cell_length_a 6.817
_cell_length_b 4.572
_cell_length_c 9.711
_cell_angle_alpha 90.00
_cell_angle_beta 90.00
_cell_angle_gamma 90.00
_space_group_name_H-M_alt 'P n m a'
_space_group_IT_number 62
_space_group_name_Hall '-P 2ac 2n'
loop_
_atom_site_label
_atom_site_fract_x
_atom_site_fract_y
_atom_site_fract_z
_atom_site_occupancy
Na1 0.126 0.250 0.083 1
Cd1 0.123 0.250 0.415 1
In1 0.125 0.250 0.742 1
# crystal system: orthorhombic
# DOS at the Fermi energy: 0.419 states/eV per atom
# energy of formation from the pure elements: -0.082 eV per atom
# total energy: -1.739 eV per atom
# relative energy among the computed polymorphs: 44 meV per atom